Crystalline Si3WF at its relaxed geometry. Source: the Alexandria database, functional PBE with a Hubbard U.

Geometry as extended XYZ:
```
5
Lattice="-0.7434 0.1504 4.1981 -2.3792 -3.5287 -0.2949 3.4621 -2.3927 0.6988" Properties=species:S:1:pos:R:3 pbc="T T T"
Si -1.1896 -1.7644 -0.1475
Si 1.7310 -1.1963 0.3494
Si -0.3717 0.0752 2.0990
W 0.1697 -2.8855 2.3010
F 0.0000 0.0000 0.0000
```

Properties
The value obtained for the energy above the most stable polymorph in this dataset is 119 meV/atom.